1.
The following is a DFT calculation (GGA+U) of crystalline MnTe6O13 at its relaxed geometry.

extended XYZ file:
```
40
Lattice="8.9104 0.0095 0.0074 2.8095 8.4559 0.0074 2.8095 2.0293 8.2088" Properties=species:S:1:pos:R:3 pbc="T T T"
Mn 10.9752 7.9275 6.2120
Mn 3.5541 2.5671 2.0116
Te 10.1205 5.2339 3.6604
Te 7.7431 8.0972 4.2067
Te 8.1495 5.4584 6.8563
Te 4.4088 5.2607 4.5632
Te 6.7862 2.3974 4.0169
Te 6.3798 5.0363 1.3673
Te 10.7252 2.0372 5.5641
Te 8.9623 8.3306 0.6475
Te 5.3049 7.6844 7.9340
Te 3.8041 8.4574 2.6595
Te 5.5670 2.1640 7.5761
Te 9.2244 2.8102 0.2896
O 11.3308 6.1154 4.9409
O 9.5039 8.7891 4.7564
O 9.3667 6.9102 7.3967
O 3.1985 4.3792 3.2827
O 5.0254 1.7055 3.4672
O 5.1626 3.5844 0.8269
O 12.1045 9.3760 5.0620
O 10.5989 9.2416 7.8934
O 12.7052 6.9583 7.0859
O 2.4248 1.1187 3.1616
O 3.9304 1.2530 0.3302
O 1.8241 3.5363 1.1377
O 8.5914 6.2057 4.8628
O 5.9379 4.2890 3.3608
O 9.5704 3.6946 4.5921
O 8.0796 7.4063 2.4893
O 6.5153 6.3538 6.5962
O 4.9589 6.8000 3.6315
O 6.4497 3.0883 5.7343
O 8.0140 4.1408 1.6274
O 5.6811 9.0135 6.5515
O 9.8708 2.7164 7.1853
O 10.3423 6.9736 0.9193
O 8.8482 1.4811 1.6721
O 4.6585 7.7782 1.0383
O 4.1870 3.5210 7.3043
```

Calculated values
size of the total moment: 10.00 Bohr magnetons per cell
D(E_F): 0.0000 states/eV/atom
volume: 618 Å³ per cell
total energy: -0.2076 hartree per atom
calculated density: 5.527 g cm⁻³

***

2.
The following is a DFT calculation (GGA+U) of crystalline MnTe2O4 at its relaxed geometry.

extended XYZ file:
```
14
Lattice="-3.2924 -6.0638 0.6665 1.5440 -0.4441 6.9615 -3.0140 5.8666 -2.6489" Properties=species:S:1:pos:R:3 pbc="T T T"
Mn -1.3632 0.6081 4.2750
Mn -1.8569 -6.2402 7.2398
Te -4.1520 0.7472 1.6042
Te -1.7544 -2.0912 6.1709
Te -1.9345 -2.8330 2.2860
Te -1.9425 3.5142 0.7890
O -3.2314 -4.0810 1.5226
O -0.3820 -1.0636 3.2655
O -4.4219 -1.7296 2.9761
O -2.8173 -0.8075 5.2335
O -2.1204 -0.3367 -0.0352
O -3.4169 2.6661 -1.4305
O -2.8031 1.1893 2.8356
O -2.5908 -4.8777 5.5001
```

Calculated values
size of the total moment: 9.98 Bohr magnetons per cell
volume: 238 Å³ per cell
total energy: -0.2119 hartree per atom
calculated density: 5.217 g cm⁻³

***

3.
The following is a DFT calculation (GGA+U) of crystalline Mn2TeO5 at its relaxed geometry.

extended XYZ file:
```
16
Lattice="-2.8451 -4.3570 -1.3024 4.6667 -0.8951 3.8467 -5.8295 2.7165 3.6466" Properties=species:S:1:pos:R:3 pbc="T T T"
Mn -1.9989 -2.4075 1.1471
Mn 0.8474 -1.5758 3.1937
Mn -4.8552 -0.9598 2.9972
Mn -2.0089 -0.1281 5.0437
Te 0.0000 0.0000 0.0000
Te -2.9147 1.3583 1.8233
O 0.7131 -0.0531 1.7852
O -4.1622 -2.2235 1.2974
O -5.9987 0.7861 3.6144
O -0.9910 -2.5923 2.9555
O -3.0169 0.0567 3.2353
O -1.9348 -0.0521 0.6931
O 1.9908 -3.3217 2.5765
O 0.1544 -0.3121 4.8934
O -4.7210 -2.4825 4.4056
O -6.7397 -1.5884 1.6511
```

Calculated values
size of the total moment: 20.00 Bohr magnetons per cell
D(E_F): 0.0021 states/eV/atom
volume: 201 Å³ per cell
ΔE to the lowest computed polymorph: 0.000 eV/f.u.
calculated density: 5.242 g cm⁻³

***

4.
The following is a DFT calculation (GGA+U) of crystalline Mn4TeO8 at its relaxed geometry.

extended XYZ file:
```
13
Lattice="6.2198 0.0000 0.0000 3.1099 5.3865 0.0000 3.1099 1.7955 5.0785" Properties=species:S:1:pos:R:3 pbc="T T T"
Mn 7.8427 2.6541 1.8767
Mn 6.2198 5.4649 1.8767
Mn 6.2198 3.5910 4.5268
Mn 4.5970 2.6541 1.8767
Te 9.3298 5.3865 3.8089
O 4.4595 1.0164 0.7187
O 3.1099 3.3538 0.7187
O 3.1099 1.7955 2.9225
O 1.7604 1.0164 0.7187
O 4.8294 4.3938 3.1069
O 6.2198 1.9855 3.1069
O 6.2198 3.5910 0.8363
O 7.6103 4.3938 3.1069
```

Calculated values
size of the total moment: 16.00 Bohr magnetons per cell
D(E_F): 0.7471 states/eV/atom
volume: 170 Å³ per cell
ΔE to the lowest computed polymorph: 2.552 eV/f.u.
calculated density: 4.639 g cm⁻³